Here is an optimized crystal structure of LiIrSCl2 from Alexandria via LeMat-Bulk. Energies are from PBE.

Cell lengths 5.123, 5.123, 4.391 Å; angles 90.00, 90.00, 90.00 degrees
Positions (direct):
1 S 0.000 0.000 0.500
2 Li 0.500 0.500 0.500
3 Cl 0.000 0.500 0.000
4 Cl 0.500 0.000 0.000
5 Ir 0.000 0.000 0.000

## Properties
* energy above the most stable polymorph in this dataset: 0.000 eV/atom
* raw formation energy: -0.336 eV per atom
* space-group type: P4/mmm